# 1
Below is SrSi4Te after structural relaxation, with properties calculated at the PBE-GGA level.

```
data_SrSi4Te
_chemical_formula_sum 'Sr4 Si16 Te4'
_space_group_name_H-M_alt 'F -4 3 m'
_space_group_IT_number 216
_space_group_name_Hall 'F -4 2 3'
_cell_length_a 7.833
_cell_length_b 7.833
_cell_length_c 7.833
_cell_angle_alpha 90.00
_cell_angle_beta 90.00
_cell_angle_gamma 90.00
loop_
_atom_site_label
_atom_site_type_symbol
_atom_site_fract_x
_atom_site_fract_y
_atom_site_fract_z
Sr1 Sr 0.000 0.000 0.000
Si1 Si 0.127 0.127 0.373
Te1 Te 0.250 0.250 0.750
```

Values from the calculation:
**ρ**: 4.5 g/cm3
**Energy**: -103.01 eV for the cell shown
**ΔE_f (raw)**: 73.6 kJ/mol of formula units
**DOS(E_F)**: 0.592 states/eV per atom

# 2
Below is KRbSn after structural relaxation, with properties calculated at the PBE-GGA level.

```
data_KRbSn
_chemical_formula_sum 'K4 Rb4 Sn4'
_space_group_name_H-M_alt 'C 1 2/m 1'
_space_group_IT_number 12
_space_group_name_Hall '-C 2y'
_cell_length_a 9.090
_cell_length_b 9.093
_cell_length_c 9.535
_cell_angle_alpha 90.00
_cell_angle_beta 118.33
_cell_angle_gamma 90.00
loop_
_atom_site_label
_atom_site_type_symbol
_atom_site_fract_x
_atom_site_fract_y
_atom_site_fract_z
K1 K 0.250 0.250 0.000
Rb1 Rb 0.197 0.000 0.393
Sn1 Sn 0.086 0.500 0.172
```

Values from the calculation:
**ρ**: 2.3 g/cm3
**Energy**: -24.87 eV for the cell shown
**DOS(E_F)**: 0.807 states/eV per atom
**Distance to the lowest polymorph of the same formula**: 0 meV/atom
**Calculated formation energy**: -0.15 eV per formula unit